Below is a relaxed Li4POs crystal, with properties calculated at the PBE-GGA level.

```
6
Lattice="0.000 3.253 3.253 3.253 0.000 3.253 3.253 3.253 0.000" Properties=species:S:1:pos:R:3 pbc="T T T"
Li 0.803 0.803 0.803
Li 2.449 2.449 0.803
Li 2.449 0.803 2.449
Li 0.803 2.449 2.449
P 3.253 3.253 3.253
Os 4.879 4.879 4.879
```

For the volume, the calculation gives 11.5 Å³ per atom. The value obtained for the total energy is -22.77 eV for the cell shown. For the formation energy, the calculation gives 0.25 eV per atom.